Computed, not measured: crystalline La8Os3SeI4 at its relaxed geometry at the PBE-GGA level of DFT.

Properties
magnetization	0.0	μB per cell
E_tot	-97.45	eV/f.u.
raw formation energy	-0.916	eV per atom

Unit cell a=9.5328 b=9.5328 c=9.5328 alpha=53.95 beta=53.95 gamma=53.95
Element x y z (fractional)
La1 0.2059 0.7395 0.7395
La2 0.2305 0.2305 0.2305
La3 0.2605 0.2605 0.7941
La4 0.2605 0.7941 0.2605
La5 0.7395 0.2059 0.7395
La6 0.7395 0.7395 0.2059
La7 0.7695 0.7695 0.7695
La8 0.7941 0.2605 0.2605
Os1 0.0000 0.0000 0.5000
Os2 0.0000 0.5000 0.0000
Os3 0.5000 0.0000 0.0000
Se1 0.5000 0.5000 0.5000
I1 0.0000 0.0000 0.0000
I2 0.0000 0.5000 0.5000
I3 0.5000 0.0000 0.5000
I4 0.5000 0.5000 0.0000